Density functional theory data (PBE-GGA) for an optimized crystal structure of BaDyEr4Se8.

a b c (Å): 8.5726 8.5726 8.5726
angles (deg): 59.80 59.80 59.80
Fractional coordinates of all 14 atoms:
Ba1 0.0000 0.0000 0.0000
Dy1 0.6278 0.6278 0.6278
Er1 0.1211 0.6275 0.6275
Er2 0.2511 0.2511 0.2511
Er3 0.6275 0.1211 0.6275
Er4 0.6275 0.6275 0.1211
Se1 0.3819 0.3819 0.8552
Se2 0.3819 0.8552 0.3819
Se3 0.3831 0.3831 0.3831
Se4 0.4284 0.8598 0.8598
Se5 0.8552 0.3819 0.3819
Se6 0.8578 0.8578 0.8578
Se7 0.8598 0.4284 0.8598
Se8 0.8598 0.8598 0.4284

## Properties
D(E_F) = 4.30 states/eV per cell
Space-group type = No. 160
ΔE_f (raw) = -1.7563 eV/atom
Final energy = -5.517 eV/atom

---

Density functional theory data (PBE-GGA) for an optimized crystal structure of HoCuPdAu.

a b c (Å): 4.7022 4.7022 4.7022
angles (deg): 60.00 60.00 60.00
Fractional coordinates of all 4 atoms:
Ho1 0.0000 0.0000 0.0000
Cu1 0.5000 0.5000 0.5000
Pd1 0.2500 0.2500 0.2500
Au1 0.7500 0.7500 0.7500

## Properties
Energy relative to the elements = -554 meV/atom
D(E_F) = 1.37 states/eV per cell
Space-group type = No. 216
Final energy = -4.840 eV/atom

---

Density functional theory data (PBE-GGA) for an optimized crystal structure of TcSb4Os.

a b c (Å): 5.9188 5.9188 5.9188
angles (deg): 60.00 60.00 60.00
Fractional coordinates of all 6 atoms:
Tc1 0.0000 0.0000 0.0000
Sb1 0.3753 0.3753 0.3753
Sb2 0.3753 0.3753 0.8742
Sb3 0.3753 0.8742 0.3753
Sb4 0.8742 0.3753 0.3753
Os1 0.7500 0.7500 0.7500

## Properties
D(E_F) = 6.19 states/eV per cell
Space-group type = No. 216
ΔE_f (raw) = 1.5735 eV/atom
Final energy = -4.774 eV/atom

---

Density functional theory data (PBE-GGA) for an optimized crystal structure of LaHoGaRh.

a b c (Å): 4.3263 5.5853 5.5853
angles (deg): 45.66 90.00 90.00
Fractional coordinates of all 4 atoms:
La1 0.0000 0.0000 0.0000
Ho1 0.5000 0.2905 0.2905
Ga1 0.5000 0.5910 0.5910
Rh1 0.0000 0.7410 0.7410

## Properties
Energy relative to the elements = -694 meV/atom
D(E_F) = 3.26 states/eV per cell
Space-group type = No. 38
Final energy = -5.665 eV/atom

---

Density functional theory data (PBE-GGA) for an optimized crystal structure of Sr3NbPb.

a b c (Å): 6.3001 6.3001 6.3001
angles (deg): 90.00 90.00 90.00
Fractional coordinates of all 5 atoms:
Sr1 0.0000 0.0000 0.5000
Sr2 0.0000 0.5000 0.0000
Sr3 0.5000 0.0000 0.0000
Nb1 0.5000 0.5000 0.5000
Pb1 0.0000 0.0000 0.0000

## Properties
Energy relative to the elements = 759 meV/atom
D(E_F) = 2.31 states/eV per cell
Space-group type = No. 221
Final energy = -3.006 eV/atom